! Mn2PbO | Alexandria via LeMat-Bulk | PBE+U | optimized geometry; values from VASP
&SYSTEM
  ibrav = 0, nat = 4, ntyp = 3
/
ATOMIC_SPECIES
Mn 54.94 Mn.upf
Pb 207.20 Pb.upf
O 16.00 O.upf
CELL_PARAMETERS angstrom
4.6405 -0.5830 -0.2513
1.8469 -4.2858 0.3987
1.8989 -2.0888 -3.7375
ATOMIC_POSITIONS crystal
Mn 0.7500 0.7500 0.7500
Pb 0.5000 0.5000 0.5000
O 0.0000 0.0000 0.0000
Mn 0.2500 0.2500 0.2500
! - Size of the total moment: 8.00 μB/f.u.
! - E_tot: -5.58 eV/atom
! - Distance to the lowest polymorph of the same formula: 0.790 eV/atom